(1)
# Li2Al

A relaxed Li2Al crystal (PBE, Alexandria via LeMat-Bulk).

Lattice parameters (Å, degrees): 8.5834 8.5834 8.5834 60.00 60.00 60.00
Last column: nearest neighbours and their distance in Å.
Fractional positions:
Li (0.0000, 0.0000, 0.0000)  6 Al 2.62
Li (0.0000, 0.0000, 0.5000)  6 Al 2.62
Li (0.0000, 0.5000, 0.0000)  6 Al 2.62
Li (0.1731, 0.1731, 0.5769)  4 Al 2.92-2.98, 6 Li 3.00-3.14
Li (0.1731, 0.5769, 0.1731)  4 Al 2.92-2.98, 6 Li 3.00-3.14
Li (0.1731, 0.5769, 0.5769)  4 Al 2.92-2.98, 6 Li 3.00-3.14
Li (0.4231, 0.4231, 0.8269)  4 Al 2.92-2.98, 6 Li 3.00-3.14
Li (0.4231, 0.8269, 0.4231)  4 Al 2.92-2.98, 6 Li 3.00-3.14
Li (0.4231, 0.8269, 0.8269)  4 Al 2.92-2.98, 6 Li 3.00-3.14
Li (0.5000, 0.0000, 0.0000)  6 Al 2.62
Li (0.5769, 0.1731, 0.1731)  4 Al 2.92-2.98, 6 Li 3.00-3.14
Li (0.5769, 0.1731, 0.5769)  4 Al 2.92-2.98, 6 Li 3.00-3.14
Li (0.5769, 0.5769, 0.1731)  4 Al 2.92-2.98, 6 Li 3.00-3.14
Li (0.8269, 0.4231, 0.4231)  4 Al 2.92-2.98, 6 Li 3.00-3.14
Li (0.8269, 0.4231, 0.8269)  4 Al 2.92-2.98, 6 Li 3.00-3.14
Li (0.8269, 0.8269, 0.4231)  4 Al 2.92-2.98, 6 Li 3.00-3.14
Al (0.1193, 0.7936, 0.7936)  6 Li 2.62-2.92, 3 Al 2.80
Al (0.2064, 0.2064, 0.2064)  6 Li 2.62-2.92, 3 Al 2.80
Al (0.2064, 0.2064, 0.8807)  6 Li 2.62-2.92, 3 Al 2.80
Al (0.2064, 0.8807, 0.2064)  6 Li 2.62-2.92, 3 Al 2.80
Al (0.7936, 0.1193, 0.7936)  6 Li 2.62-2.92, 3 Al 2.80
Al (0.7936, 0.7936, 0.1193)  6 Li 2.62-2.92, 3 Al 2.80
Al (0.7936, 0.7936, 0.7936)  6 Li 2.62-2.92, 3 Al 2.80
Al (0.8807, 0.2064, 0.2064)  6 Li 2.62-2.92, 3 Al 2.80

ΔE_f in eV/atom: -0.104
Crystal system: cubic

(2)
# BaCuGe2

A relaxed BaCuGe2 crystal (PBE, Alexandria via LeMat-Bulk).

Lattice parameters (Å, degrees): 9.0407 9.0407 9.0407 146.95 146.95 47.43
Last column: nearest neighbours and their distance in Å.
Fractional positions:
Ba (0.3750, 0.6250, 0.7500)  8 Ge 3.54, 4 Cu 3.64
Ba (0.6250, 0.3750, 0.2500)  8 Ge 3.54, 4 Cu 3.64
Cu (0.1250, 0.8750, 0.2500)  4 Ge 2.44
Cu (0.8750, 0.1250, 0.7500)  4 Ge 2.44
Ge (0.0000, 0.0000, 0.0000)  2 Cu 2.44, 2 Ge 2.57
Ge (0.0000, 0.0000, 0.5000)  2 Cu 2.44, 2 Ge 2.57
Ge (0.0000, 0.5000, 0.0000)  2 Cu 2.44, 2 Ge 2.57
Ge (0.5000, 0.0000, 0.5000)  2 Cu 2.44, 2 Ge 2.57

ΔE_f in eV/atom: -0.246
Crystal system: tetragonal

(3)
# AcLa9Sm2

A relaxed AcLa9Sm2 crystal (PBE, Alexandria via LeMat-Bulk).

Lattice parameters (Å, degrees): 5.2720 5.2720 15.8328 90.00 90.00 90.00
Last column: nearest neighbours and their distance in Å.
Fractional positions:
Ac (0.0000, 0.0000, 0.0000)  12 La 3.73-3.79
La (0.0000, 0.5000, 0.1722)  2 Sm 3.70, 8 La 3.71-3.79, 2 Ac 3.79
La (0.0000, 0.5000, 0.5000)  8 La 3.69-3.73, 4 Sm 3.70
La (0.0000, 0.5000, 0.8278)  2 Sm 3.70, 8 La 3.71-3.79, 2 Ac 3.79
La (0.5000, 0.0000, 0.1722)  2 Sm 3.70, 8 La 3.71-3.79, 2 Ac 3.79
La (0.5000, 0.0000, 0.5000)  8 La 3.69-3.73, 4 Sm 3.70
La (0.5000, 0.0000, 0.8278)  2 Sm 3.70, 8 La 3.71-3.79, 2 Ac 3.79
La (0.5000, 0.5000, 0.0000)  4 Ac 3.73, 8 La 3.79
La (0.5000, 0.5000, 0.3369)  8 La 3.69-3.71, 4 Sm 3.73
La (0.5000, 0.5000, 0.6631)  8 La 3.69-3.71, 4 Sm 3.73
Sm (0.0000, 0.0000, 0.3360)  12 La 3.70-3.73
Sm (0.0000, 0.0000, 0.6640)  12 La 3.70-3.73

ΔE_f in eV/atom: 0.011
Crystal system: tetragonal

(4)
# Zr4CdSe

A relaxed Zr4CdSe crystal (PBE, Alexandria via LeMat-Bulk).

Lattice parameters (Å, degrees): 5.8074 5.8074 5.8074 60.00 60.00 60.00
Last column: nearest neighbours and their distance in Å.
Fractional positions:
Zr (0.1233, 0.1233, 0.1233)  6 Zr 2.86-2.94
Zr (0.1233, 0.1233, 0.6301)  6 Zr 2.86-2.94
Zr (0.1233, 0.6301, 0.1233)  6 Zr 2.86-2.94
Zr (0.6301, 0.1233, 0.1233)  6 Zr 2.86-2.94
Cd (0.7500, 0.7500, 0.7500)  12 Zr 3.40, 4 Se 3.56
Se (0.5000, 0.5000, 0.5000)  12 Zr 3.41, 4 Cd 3.56

Crystal system: cubic
ΔE_f (raw) in eV/atom: 0.262

(5)
# CaYCoAg2

A relaxed CaYCoAg2 crystal (PBE, Alexandria via LeMat-Bulk).

Lattice parameters (Å, degrees): 5.0741 5.0741 5.7510 90.00 90.00 90.00
Last column: nearest neighbours and their distance in Å.
Fractional positions:
Ca (0.0000, 0.0000, 0.0000)  4 Ag 2.54
Y (0.0000, 0.0000, 0.5000)  2 Ca 2.88
Co (0.5000, 0.5000, 0.5000)  4 Y 3.59, 8 Ag 3.83
Ag (0.0000, 0.5000, 0.0000)  2 Ca 2.54
Ag (0.5000, 0.0000, 0.0000)  2 Ca 2.54

ΔE_f in eV/atom: 1.431
Crystal system: tetragonal

(6)
# Ti2CdO6

A relaxed Ti2CdO6 crystal (PBE, Alexandria via LeMat-Bulk).

Lattice parameters (Å, degrees): 6.0139 6.1495 6.7928 90.00 95.06 90.00
Last column: nearest neighbours and their distance in Å.
Fractional positions:
Ti (0.0029, 0.0000, 0.1580)  3 O 1.80-1.99
Ti (0.4180, 0.4675, 0.6153)  3 O 1.82-1.91
Ti (0.5820, 0.9675, 0.3847)  3 O 1.82-1.91
Ti (0.9971, 0.5000, 0.8420)  3 O 1.80-1.99
Cd (0.0907, 0.9725, 0.6676)  4 O 2.20-2.43
Cd (0.9093, 0.4725, 0.3324)  4 O 2.20-2.43
O (0.0380, 0.3018, 0.0396)  1 Ti 1.81
O (0.1037, 0.3259, 0.6218)  2 Ti 1.99-2.09, 1 Cd 2.20
O (0.2700, 0.6642, 0.7551)  1 Ti 1.82
O (0.2894, 0.9815, 0.2566)  2 Ti 1.80-1.89
O (0.3318, 0.5048, 0.3405)  1 O 1.47
O (0.4595, 0.1255, 0.6159)  1 O 1.47
O (0.5405, 0.6255, 0.3841)  1 O 1.47
O (0.6682, 0.0048, 0.6595)  1 O 1.47
O (0.7106, 0.4815, 0.7434)  2 Ti 1.80-1.89
O (0.7300, 0.1642, 0.2449)  1 Ti 1.82
O (0.8963, 0.8259, 0.3782)  2 Ti 1.99-2.09, 1 Cd 2.20
O (0.9620, 0.8018, 0.9604)  1 Ti 1.81

Crystal system: monoclinic
ΔE_f (raw) in eV/atom: -2.086

(7)
# Fe2PbBr

A relaxed Fe2PbBr crystal (PBE, Alexandria via LeMat-Bulk).

Lattice parameters (Å, degrees): 6.0061 6.0061 6.0061 108.46 108.46 111.51
Last column: nearest neighbours and their distance in Å.
Fractional positions:
Fe (0.0893, 0.1250, 0.4643)  2 Br 2.46
Fe (0.3750, 0.9107, 0.0357)  2 Br 2.46
Fe (0.6607, 0.6250, 0.5357)  2 Br 2.46
Fe (0.8750, 0.3393, 0.9643)  2 Br 2.46
Pb (0.2500, 0.7500, 0.5000)  4 Fe 2.80
Pb (0.5000, 0.5000, 0.0000)  4 Fe 2.80
Br (0.0000, 0.0000, 0.0000)  4 Fe 2.46
Br (0.7500, 0.2500, 0.5000)  4 Fe 2.46

Crystal system: tetragonal
ΔE_f (raw) in eV/atom: 0.751

(8)
# HfAsSe2Cl

A relaxed HfAsSe2Cl crystal (PBE, Alexandria via LeMat-Bulk).

Lattice parameters (Å, degrees): 5.0694 5.0694 5.3833 90.00 90.00 90.00
Last column: nearest neighbours and their distance in Å.
Fractional positions:
Hf (0.0000, 0.0000, 0.0000)  4 Se 2.53, 2 As 2.69
As (0.0000, 0.0000, 0.5000)  2 Hf 2.69
Se (0.0000, 0.5000, 0.0000)  2 Hf 2.53
Se (0.5000, 0.0000, 0.0000)  2 Hf 2.53
Cl (0.5000, 0.5000, 0.5000)  4 As 3.58, 8 Se 3.70

Crystal system: tetragonal
ΔE_f (raw) in eV/atom: -0.150

(9)
# Na2CaTl2In

A relaxed Na2CaTl2In crystal (PBE, Alexandria via LeMat-Bulk).

Lattice parameters (Å, degrees): 4.5485 9.8533 7.9794 90.00 90.00 90.00
Last column: nearest neighbours and their distance in Å.
Fractional positions:
Na (0.0000, 0.0733, 0.0000)  5 Tl 3.27-3.51, 4 Na 3.56-3.65
Na (0.0000, 0.9267, 0.5000)  5 Tl 3.27-3.51, 4 Na 3.56-3.65
Na (0.5000, 0.1768, 0.3177)  4 Tl 3.12-3.20, 2 In 3.48
Na (0.5000, 0.8232, 0.8177)  4 Tl 3.12-3.20, 2 In 3.48
Ca (0.5000, 0.4418, 0.9136)  5 Tl 3.31-3.41, 4 In 3.57-3.61
Ca (0.5000, 0.5582, 0.4136)  5 Tl 3.31-3.41, 4 In 3.57-3.61
Tl (0.0000, 0.3713, 0.2015)  3 Na 3.12-3.35, 2 In 3.14-3.18, 4 Ca 3.31-3.38
Tl (0.0000, 0.6287, 0.7015)  3 Na 3.12-3.35, 2 In 3.14-3.18, 4 Ca 3.31-3.38
Tl (0.5000, 0.1354, 0.7153)  2 In 3.07, 4 Na 3.18-3.27, 1 Ca 3.41
Tl (0.5000, 0.8646, 0.2153)  2 In 3.07, 4 Na 3.18-3.27, 1 Ca 3.41
In (0.0000, 0.3214, 0.5950)  4 Tl 3.07-3.18
In (0.0000, 0.6786, 0.0950)  4 Tl 3.07-3.18

ΔE_f in eV/atom: -0.192
Crystal system: orthorhombic

(10)
# HgPb5Au4

A relaxed HgPb5Au4 crystal (PBE, Alexandria via LeMat-Bulk).

Lattice parameters (Å, degrees): 8.1997 8.1997 7.0962 90.54 90.54 34.42
Last column: nearest neighbours and their distance in Å.
Fractional positions:
Hg (0.0000, 0.0000, 0.0000)  6 Au 2.92-3.19
Pb (0.0000, 0.0000, 0.5000)  6 Au 3.11-3.16
Pb (0.3295, 0.3295, 0.9890)  5 Au 2.96-3.30
Pb (0.3363, 0.3363, 0.4916)  4 Au 3.01-3.10
Pb (0.6637, 0.6637, 0.5084)  4 Au 3.01-3.10
Pb (0.6705, 0.6705, 0.0110)  5 Au 2.96-3.30
Au (0.1679, 0.1679, 0.2578)  7 Pb 2.99-3.18, 1 Hg 3.19
Au (0.4853, 0.4853, 0.2275)  2 Hg 2.92, 4 Pb 2.96-3.11, 1 Au 3.27
Au (0.5147, 0.5147, 0.7725)  2 Hg 2.92, 4 Pb 2.96-3.11, 1 Au 3.27
Au (0.8321, 0.8321, 0.7422)  7 Pb 2.99-3.18, 1 Hg 3.19

ΔE_f in eV/atom: -0.021
Crystal system: monoclinic

no.,final energy (eV for the cell shown)
1,-63.1
2,-32.5
3,-57.8
4,-37.0
5,-14.1
6,-130.5
7,-38.6
8,-24.2
9,-26.5
10,-32.2